Record 1
TlGaRhF2: relaxed, GGA-PBE.

Volume = 97.59 Å³ per cell
Energy relative to the elements, uncorrected = -60.6 kJ per mole of atoms
Symmetry = P4/mmm, No. 123
Magnetic moment = 0.0 μB/f.u.

a = 4.211 Å, b = 4.211 Å, c = 5.503 Å
α = 90.00°, β = 90.00°, γ = 90.00°
Atoms (fractional coordinates):
Tl 0.000 0.000 0.000
Ga 0.500 0.500 0.000
Rh 0.000 0.000 0.500
F 0.000 0.500 0.500
F 0.500 0.000 0.500

***

Record 2
LiAlPb2: relaxed, GGA-PBE.

Volume = 97.25 Å³ per cell
Symmetry = Pmmm, No. 47
Magnetic moment = 0.0 μB/f.u.
E = -13.1 eV/f.u.

a = 3.411 Å, b = 4.209 Å, c = 6.774 Å
α = 90.00°, β = 90.00°, γ = 90.00°
Atoms (fractional coordinates):
Li 0.000 0.000 0.000
Al 0.000 0.000 0.500
Pb 0.500 0.500 0.252
Pb 0.500 0.500 0.748

***

Record 3
LaZnHg4: relaxed, GGA-PBE.

Volume = 154.93 Å³ per cell
Symmetry = F-43m, No. 216
Magnetic moment = 0.0 μB/f.u.
E = -7.9 eV/f.u.

a = 6.029 Å, b = 6.029 Å, c = 6.029 Å
α = 60.00°, β = 60.00°, γ = 60.00°
Atoms (fractional coordinates):
La 0.000 0.000 0.000
Zn 0.750 0.750 0.750
Hg 0.375 0.375 0.375
Hg 0.375 0.375 0.874
Hg 0.375 0.874 0.375
Hg 0.874 0.375 0.375